*one*
Computed, not measured: a relaxed structure of Zr2GeB at the PBE level of DFT.

```
8
Lattice="6.8442 0.0000 0.0000 0.0000 6.8442 0.0000 3.4221 3.4221 3.0300" Properties=species:S:1:pos:R:3 pbc="T T T"
Zr 4.8914 1.7110 0.7575
Zr 8.5552 8.3135 2.2725
Zr 1.9528 5.1331 0.7575
Zr 5.1331 5.3748 2.2725
B 3.4221 6.8442 1.5150
B 3.4221 3.4221 0.0000
Ge 6.8442 3.4221 1.5150
Ge 0.0000 0.0000 0.0000
```

Properties
- crystal system = tetragonal
- space group = I-42d, No. 122

*two*
Computed, not measured: a relaxed structure of Zr2GeB at the PBE level of DFT.

```
4
Lattice="3.4631 0.0000 0.0000 1.7316 2.9991 0.0000 1.7316 0.9997 6.8403" Properties=species:S:1:pos:R:3 pbc="T T T"
Zr 5.1947 2.9991 4.7601
Zr 1.7316 0.9997 2.0802
B 3.4631 1.9994 3.4201
Ge 0.0000 0.0000 0.0000
```

Properties
- crystal system = trigonal
- space group = R-3m, No. 166

Which structure loses on stability? *one* does.

*one*
Computed, not measured: a relaxed structure of ZrGeB3 at the PBE level of DFT.

```
5
Lattice="4.4535 0.0000 0.0000 0.0000 4.4535 0.0000 0.0000 0.0000 4.4535" Properties=species:S:1:pos:R:3 pbc="T T T"
B 0.0000 0.0000 2.2267
B 2.2267 0.0000 0.0000
B 0.0000 2.2267 0.0000
Ge 2.2267 2.2267 2.2267
Zr 0.0000 0.0000 0.0000
```

Properties
- crystal system = cubic
- space group = Pm-3m, No. 221

*two*
Computed, not measured: a relaxed structure of ZrGeB3 at the PBE level of DFT.

```
5
Lattice="-0.5197 -3.9049 0.9212 4.0072 -0.5508 -0.0738 0.1966 0.9030 3.9386" Properties=species:S:1:pos:R:3 pbc="T T T"
Zr 1.8421 -1.7763 2.3930
B -0.2599 -1.9524 0.4606
B 2.0036 -0.2754 -0.0369
B 0.0983 0.4515 1.9693
Ge 0.0000 0.0000 0.0000
```

Properties
- crystal system = cubic
- space group = Pm-3m, No. 221

Which structure loses on stability? *one* does.

*one*
Computed, not measured: a relaxed structure of BH2 at the PBE level of DFT.

```
12
Lattice="-4.2488 -2.3530 -1.9446 0.1328 -2.2863 2.4764 -1.3223 4.0549 3.8146" Properties=species:S:1:pos:R:3 pbc="T T T"
H -4.5382 -0.6136 2.5182
H -3.9016 0.9065 1.8904
H -3.9435 -1.4979 -0.6273
H -2.2154 0.8395 4.0353
H -3.1741 -2.2642 1.2212
H -1.5961 2.6582 3.0840
H -1.6207 -0.0448 0.8898
H -0.8686 -0.5124 2.4148
B -0.4689 -0.1843 1.2135
B -1.0637 0.7000 4.3590
B -5.0236 0.5341 2.1210
B -4.2960 -2.6365 1.4519
```

Properties
- crystal system = monoclinic
- space group = C2, No. 5

*two*
Computed, not measured: a relaxed structure of BH2 at the PBE level of DFT.

```
3
Lattice="2.7971 0.0000 0.0000 0.0000 2.7971 0.0000 0.0000 0.0000 1.9472" Properties=species:S:1:pos:R:3 pbc="T T T"
H 0.0000 1.3985 1.7266
H 1.3985 0.0000 0.2206
B 1.3985 1.3985 0.0000
```

Properties
- crystal system = tetragonal
- space group = P-4m2, No. 115

*three*
Computed, not measured: a relaxed structure of BH2 at the PBE level of DFT.

```
6
Lattice="-0.3371 1.4204 2.6745 -4.1724 -0.3706 0.8168 0.7159 -3.0618 2.9169" Properties=species:S:1:pos:R:3 pbc="T T T"
H -0.2603 -1.9042 3.9148
H -0.9975 -0.8511 1.2511
H -3.5334 -0.1078 2.4934
H -2.7962 -1.1609 5.1571
B -0.3161 0.0295 0.7906
B -3.4776 -2.0415 5.6176
```

Properties
- crystal system = triclinic
- space group = P-1, No. 2

*four*
Computed, not measured: a relaxed structure of BH2 at the PBE level of DFT.

```
9
Lattice="3.4055 0.0002 1.9660 1.1353 3.2107 1.9661 0.0000 0.0000 3.9321" Properties=species:S:1:pos:R:3 pbc="T T T"
H 2.8178 0.8313 4.8803
H 1.7229 2.3797 4.8804
H 1.1753 0.8312 3.9321
H 3.3654 2.3797 3.9321
H 1.7229 2.3796 2.9839
H 2.8178 0.8312 2.9838
B 0.0000 0.0000 0.0000
B 3.4055 2.4082 5.8981
B 1.1352 0.8027 1.9660
```

Properties
- crystal system = cubic
- space group = Fm-3m, No. 225

Which structure loses on stability? *four* does.

*one*
Computed, not measured: a relaxed structure of BH2 at the PBE level of DFT.

```
12
Lattice="-1.6377 -2.6304 -3.6976 2.8824 -1.7460 -0.0345 -2.1957 -3.6992 3.7692" Properties=species:S:1:pos:R:3 pbc="T T T"
H 0.0530 -1.9839 -0.5013
H -0.7658 -3.8162 2.3489
H 0.3964 -4.7066 1.3661
H -0.5037 -6.5811 -0.4365
H -2.0419 -5.4630 0.5508
H 0.4972 -4.4864 -1.3511
H -0.8471 -3.8585 -2.3038
H 1.7733 -2.8397 0.4470
B 0.5221 -3.7811 2.1267
B 0.1788 -1.0585 0.2594
B -2.8171 -5.9950 -0.2021
B -0.2781 -5.0184 -2.1039
```

Properties
- crystal system = monoclinic
- space group = C2, No. 5

*two*
Computed, not measured: a relaxed structure of BH2 at the PBE level of DFT.

```
3
Lattice="1.8098 -0.0005 0.0090 -0.0007 2.7220 0.0023 -0.6898 -1.2969 3.6272" Properties=species:S:1:pos:R:3 pbc="T T T"
B 0.9779 -0.4133 3.2678
H 0.7590 0.8817 0.6662
H 0.9794 0.9483 2.8954
```

Properties
- crystal system = triclinic
- space group = P1, No. 1

Which structure loses on stability? *two* does.

*one*
Computed, not measured: a relaxed structure of B3H5 at the PBE level of DFT.

```
32
Lattice="6.0454 0.0433 0.0000 -1.2004 5.9252 0.0000 0.0000 0.0000 8.7135" Properties=species:S:1:pos:R:3 pbc="T T T"
B 5.4498 2.3443 6.8988
B 3.9072 1.7791 7.5971
B -0.6048 3.6242 2.5420
B 1.0438 0.2114 1.4822
B 4.8528 4.9036 1.4822
B -0.0077 1.0650 5.8390
B 0.9378 4.1895 3.2403
B 3.6711 0.1532 6.8988
B 4.2801 1.4764 5.9183
B 0.5650 4.4922 1.5615
B 1.1739 5.8154 2.5420
B 3.8012 5.7572 5.8390
H -0.2461 3.4385 6.9399
H 3.5432 5.2838 7.0589
H 3.0552 2.4707 8.0573
H 0.4025 1.4148 7.0589
H 4.0427 4.5425 0.6831
H 5.0367 2.0897 8.1855
H 3.6563 1.9827 5.0363
H 1.4294 5.5025 6.9399
H 1.0097 5.3588 3.8287
H 1.2307 1.0783 0.6831
H 4.4425 4.5537 2.7022
H 1.7899 3.4978 3.7006
H 3.6144 4.8902 5.0399
H 3.8354 0.6098 8.1855
H 1.1887 3.9858 0.6796
H 1.3019 0.6848 2.7022
H -0.1917 3.8788 3.8287
H 5.0911 2.5300 2.5832
H 0.8023 1.4261 5.0399
H 3.4157 0.4660 2.5832
```

Properties
- crystal system = orthorhombic
- space group = Cmc2_1, No. 36

*two*
Computed, not measured: a relaxed structure of B3H5 at the PBE level of DFT.

```
96
Lattice="6.9830 0.0000 0.0000 0.0000 11.2255 -0.0827 0.0000 -3.7521 11.1139" Properties=species:S:1:pos:R:3 pbc="T T T"
H 2.8891 1.4267 8.3786
H 2.9090 -1.0616 4.1323
H 2.2086 7.3759 8.7433
H 0.0084 1.2253 7.4737
H 5.2970 5.2590 4.1021
H 5.7001 3.8343 7.8035
H 6.9823 -0.4892 4.9257
H 3.4561 5.7345 4.5692
H 6.4005 4.7984 1.3833
H 3.4351 6.7255 6.2555
H 1.6358 6.2690 1.4366
H 4.4831 0.7194 0.2358
H 1.0042 0.7832 2.6878
H 4.6512 0.0334 6.3428
H 6.3806 -1.4421 8.2508
H 3.4908 4.2259 0.5899
H 1.6859 2.2144 6.9291
H 1.2829 3.6391 3.2277
H 2.3318 7.4400 4.6884
H 5.9561 1.8760 1.9567
H 6.1810 0.4241 0.8486
H 6.9476 9.2278 0.8637
H 3.4831 8.7141 1.8754
H 5.1273 8.6932 3.9964
H 1.8557 -1.2198 7.0348
H 3.5479 0.7479 4.7756
H 1.0269 5.5974 9.0744
H 0.8020 7.0493 10.1826
H 6.2352 2.1651 4.7083
H 4.0939 6.0467 2.6526
H 4.5184 5.6127 7.4723
H 0.7478 5.3083 6.3228
H 0.9916 3.0173 5.2797
H 4.7744 0.0976 2.2879
H 2.6895 3.3126 4.6670
H 4.4957 2.9535 2.8278
H 5.8233 7.5223 0.7445
H 2.4646 1.8607 3.5588
H 3.5269 1.7389 6.4619
H 2.4873 4.5199 8.2034
H 5.1774 -2.2299 9.7004
H 0.0354 -1.7543 10.1675
H 4.0740 8.5351 6.8989
H 4.2393 5.9018 10.2239
H 5.9788 6.6902 8.3434
H 6.9266 4.4846 10.2912
H 0.0007 7.9626 6.1055
H 6.9746 6.2481 3.5575
H 0.6024 8.9155 2.7804
H 5.3472 1.2044 9.5946
H 5.9914 4.4561 5.7514
H 2.4999 6.7540 10.7953
H 3.4999 -1.2407 9.1558
H 0.5825 2.6751 9.6479
H 3.4922 3.2475 10.4413
H 1.8056 9.7033 1.3308
H 4.2935 4.1608 6.3642
H 1.1597 -0.0489 10.2867
H 0.0564 2.9888 0.7399
H 2.7437 1.5716 0.8072
B 1.7875 6.6491 9.5954
B 5.1954 0.8243 1.4358
B 0.8644 1.2060 6.6462
B 4.9260 2.6087 1.7690
B 0.9427 8.7411 1.6549
B 1.4908 7.3002 0.8582
B 2.6271 8.6949 1.0480
B 6.9046 7.9375 0.4761
B 3.0896 5.6759 10.4533
B 6.1012 7.1936 5.8647
B 4.3559 -1.2215 9.9832
B 0.9652 3.6316 10.2440
B 5.5484 6.3454 7.2846
B 6.1186 6.2674 4.3849
B 4.9823 7.6621 4.5747
B 0.4019 1.9392 4.9377
B 2.0007 -0.1887 6.4564
B 5.4922 0.1732 10.1730
B 5.2790 4.5610 6.9514
B 0.8818 0.2798 5.1665
B 0.0784 -0.4641 10.5551
B 2.5262 -0.1051 4.7284
B 3.8934 1.7975 0.5779
B 2.0569 4.8647 9.2622
B 6.0403 -1.2677 9.3763
B 6.5811 5.5342 6.0935
B 4.4342 6.2212 3.7780
B 1.7040 2.9124 4.0798
B 4.3733 3.4569 0.3491
B 4.4567 7.5785 6.3028
B 6.0177 3.8418 0.7872
B 2.5488 1.2523 7.2532
B 3.5699 0.4486 6.0743
B 1.4346 1.1280 3.7466
B 2.6097 4.0165 10.6821
B 3.4131 7.0248 4.9568
```

Properties
- crystal system = monoclinic
- space group = P2_1/c, No. 14

Which structure loses on stability? *one* does.